YAlZn2Pt4 after structural relaxation. Source: Alexandria via LeMat-Bulk, functional GGA-PBE.

Values from the calculation:
* M_tot: 0.00 μB per formula unit
* space-group type: R-3m, No. 166

Cell lengths 8.522, 8.522, 8.522 Å; angles 29.73, 29.73, 29.73 degrees
Fractional coordinates of all 8 atoms:
Y  0.000  0.000  0.000
Al  0.500  0.500  0.500
Zn  0.248  0.248  0.248
Zn  0.752  0.752  0.752
Pt  0.132  0.132  0.132
Pt  0.399  0.399  0.399
Pt  0.601  0.601  0.601
Pt  0.868  0.868  0.868

Y2AlZn2Pt5 after structural relaxation. Source: Alexandria via LeMat-Bulk, functional GGA-PBE.

Values from the calculation:
* M_tot: 0.00 μB per formula unit
* space-group type: P4/mbm, No. 127

Cell lengths 9.680, 9.680, 3.727 Å; angles 90.00, 90.00, 90.00 degrees
Fractional coordinates of all 20 atoms:
Y  0.175  0.325  0.000
Y  0.325  0.825  0.000
Y  0.675  0.175  0.000
Y  0.825  0.675  0.000
Al  0.000  0.000  0.000
Al  0.500  0.500  0.000
Zn  0.124  0.624  0.000
Zn  0.376  0.124  0.000
Zn  0.624  0.876  0.000
Zn  0.876  0.376  0.000
Pt  0.000  0.500  0.500
Pt  0.062  0.800  0.500
Pt  0.200  0.062  0.500
Pt  0.300  0.562  0.500
Pt  0.438  0.300  0.500
Pt  0.500  0.000  0.500
Pt  0.562  0.700  0.500
Pt  0.700  0.438  0.500
Pt  0.800  0.938  0.500
Pt  0.938  0.200  0.500

AlZn2Pt after structural relaxation. Source: Alexandria via LeMat-Bulk, functional GGA-PBE.

Values from the calculation:
* M_tot: 0.00 μB per formula unit
* space-group type: P4mm, No. 99

Cell lengths 2.883, 2.883, 7.260 Å; angles 90.00, 90.00, 90.00 degrees
Fractional coordinates of all 4 atoms:
Al  0.000  0.000  0.000
Zn  0.000  0.000  0.483
Zn  0.500  0.500  0.739
Pt  0.500  0.500  0.226

Al3ZnPt4 after structural relaxation. Source: Alexandria via LeMat-Bulk, functional GGA-PBE.

Values from the calculation:
* M_tot: 0.00 μB per formula unit
* space-group type: I4/mmm, No. 139

Cell lengths 4.208, 4.208, 13.288 Å; angles 90.00, 90.00, 90.00 degrees
Fractional coordinates of all 16 atoms:
Al  0.000  0.000  0.000
Al  0.000  0.000  0.252
Al  0.000  0.000  0.748
Al  0.500  0.500  0.248
Al  0.500  0.500  0.500
Al  0.500  0.500  0.752
Zn  0.000  0.000  0.500
Zn  0.500  0.500  0.000
Pt  0.000  0.500  0.129
Pt  0.000  0.500  0.371
Pt  0.000  0.500  0.629
Pt  0.000  0.500  0.871
Pt  0.500  0.000  0.129
Pt  0.500  0.000  0.371
Pt  0.500  0.000  0.629
Pt  0.500  0.000  0.871

AlZn2Pt after structural relaxation. Source: Alexandria via LeMat-Bulk, functional GGA-PBE.

Values from the calculation:
* M_tot: 0.00 μB per formula unit
* space-group type: P2/m, No. 10

Cell lengths 2.790, 4.808, 4.519 Å; angles 90.00, 91.60, 90.00 degrees
Fractional coordinates of all 4 atoms:
Al  0.000  0.000  0.000
Zn  0.262  0.500  0.249
Zn  0.738  0.500  0.751
Pt  0.500  0.000  0.500

Al2ZnPt2 after structural relaxation. Source: Alexandria via LeMat-Bulk, functional GGA-PBE.

Values from the calculation:
* M_tot: 0.00 μB per formula unit
* energy above the most stable polymorph in this dataset: 0.26 eV/f.u.
* space-group type: P4/mbm, No. 127

Cell lengths 7.194, 7.194, 3.025 Å; angles 90.00, 90.00, 90.00 degrees
Fractional coordinates of all 10 atoms:
Al  0.147  0.353  0.000
Al  0.353  0.853  0.000
Al  0.647  0.147  0.000
Al  0.853  0.647  0.000
Zn  0.000  0.000  0.500
Zn  0.500  0.500  0.500
Pt  0.151  0.651  0.500
Pt  0.349  0.151  0.500
Pt  0.651  0.849  0.500
Pt  0.849  0.349  0.500

AlZn2Pt after structural relaxation. Source: Alexandria via LeMat-Bulk, functional GGA-PBE.

Values from the calculation:
* M_tot: 0.00 μB per formula unit
* space-group type: F-43m, No. 216

Cell lengths 6.170, 6.170, 6.170 Å; angles 90.00, 90.00, 90.00 degrees
Fractional coordinates of all 16 atoms:
Al  0.000  0.000  0.000
Al  0.000  0.500  0.500
Al  0.500  0.000  0.500
Al  0.500  0.500  0.000
Zn  0.000  0.000  0.500
Zn  0.000  0.500  0.000
Zn  0.250  0.250  0.250
Zn  0.250  0.750  0.750
Zn  0.500  0.000  0.000
Zn  0.500  0.500  0.500
Zn  0.750  0.250  0.750
Zn  0.750  0.750  0.250
Pt  0.250  0.250  0.750
Pt  0.250  0.750  0.250
Pt  0.750  0.250  0.250
Pt  0.750  0.750  0.750

AlZn2Pt after structural relaxation. Source: Alexandria via LeMat-Bulk, functional GGA-PBE.

Values from the calculation:
* M_tot: 0.00 μB per formula unit
* space-group type: Pmm2, No. 25

Cell lengths 2.866, 4.243, 4.862 Å; angles 90.00, 90.00, 90.00 degrees
Fractional coordinates of all 4 atoms:
Al  0.000  0.000  0.000
Zn  0.000  0.500  0.361
Zn  0.500  0.000  0.499
Pt  0.500  0.500  0.858

Al4ZnPt after structural relaxation. Source: Alexandria via LeMat-Bulk, functional GGA-PBE.

Values from the calculation:
* M_tot: 0.00 μB per formula unit
* energy above the most stable polymorph in this dataset: 0.00 eV/f.u.
* space-group type: Fddd, No. 70

Cell lengths 7.287, 7.260, 5.964 Å; angles 66.04, 65.56, 48.41 degrees
Fractional coordinates of all 12 atoms:
Al  0.001  0.501  0.244
Al  0.244  0.754  0.001
Al  0.246  0.756  0.499
Al  0.499  0.999  0.246
Al  0.501  0.001  0.754
Al  0.754  0.244  0.501
Al  0.756  0.246  0.999
Al  0.999  0.499  0.756
Zn  0.375  0.375  0.375
Zn  0.625  0.625  0.625
Pt  0.125  0.125  0.125
Pt  0.875  0.875  0.875

AlZn2Pt after structural relaxation. Source: Alexandria via LeMat-Bulk, functional GGA-PBE.

Values from the calculation:
* M_tot: 0.00 μB per formula unit
* space-group type: I-4m2, No. 119

Cell lengths 3.919, 3.919, 7.595 Å; angles 90.00, 90.00, 90.00 degrees
Fractional coordinates of all 8 atoms:
Al  0.000  0.000  0.000
Al  0.500  0.500  0.500
Zn  0.000  0.000  0.500
Zn  0.000  0.500  0.750
Zn  0.500  0.000  0.250
Zn  0.500  0.500  0.000
Pt  0.000  0.500  0.250
Pt  0.500  0.000  0.750

Al3ZnPt2 after structural relaxation. Source: Alexandria via LeMat-Bulk, functional GGA-PBE.

Values from the calculation:
* M_tot: 0.00 μB per formula unit
* space-group type: Pmc2_1, No. 26

Cell lengths 4.013, 8.079, 5.754 Å; angles 90.00, 90.00, 90.00 degrees
Fractional coordinates of all 12 atoms:
Al  0.000  0.085  0.000
Al  0.000  0.296  0.391
Al  0.000  0.704  0.891
Al  0.000  0.915  0.500
Al  0.500  0.215  0.715
Al  0.500  0.785  0.215
Zn  0.500  0.419  0.125
Zn  0.500  0.581  0.625
Pt  0.000  0.389  0.811
Pt  0.000  0.611  0.311
Pt  0.500  0.094  0.312
Pt  0.500  0.906  0.812

Al2ZnPt2 after structural relaxation. Source: Alexandria via LeMat-Bulk, functional GGA-PBE.

Values from the calculation:
* M_tot: 0.00 μB per formula unit
* energy above the most stable polymorph in this dataset: 0.96 eV/f.u.
* space-group type: I4/mmm, No. 139

Cell lengths 3.774, 3.774, 11.843 Å; angles 90.00, 90.00, 90.00 degrees
Fractional coordinates of all 10 atoms:
Al  0.000  0.500  0.250
Al  0.000  0.500  0.750
Al  0.500  0.000  0.250
Al  0.500  0.000  0.750
Zn  0.000  0.000  0.000
Zn  0.500  0.500  0.500
Pt  0.000  0.000  0.388
Pt  0.000  0.000  0.612
Pt  0.500  0.500  0.112
Pt  0.500  0.500  0.888

AlZn8Pt2 after structural relaxation. Source: Alexandria via LeMat-Bulk, functional GGA-PBE.

Values from the calculation:
* M_tot: 0.00 μB per formula unit
* space-group type: C2/m, No. 12

Cell lengths 6.612, 6.612, 5.115 Å; angles 101.95, 101.95, 57.40 degrees
Fractional coordinates of all 11 atoms:
Al  0.000  0.000  0.000
Zn  0.197  0.603  0.582
Zn  0.206  0.206  0.762
Zn  0.397  0.803  0.418
Zn  0.412  0.412  0.107
Zn  0.588  0.588  0.893
Zn  0.603  0.197  0.582
Zn  0.794  0.794  0.238
Zn  0.803  0.397  0.418
Pt  0.213  0.213  0.256
Pt  0.787  0.787  0.744

AlZn2Pt after structural relaxation. Source: Alexandria via LeMat-Bulk, functional GGA-PBE.

Values from the calculation:
* M_tot: 0.00 μB per formula unit
* space-group type: Cm, No. 8

Cell lengths 8.922, 2.910, 4.663 Å; angles 90.00, 99.95, 90.00 degrees
Fractional coordinates of all 8 atoms:
Al  0.000  0.000  0.000
Al  0.500  0.500  0.000
Zn  0.010  0.500  0.512
Zn  0.255  0.500  0.292
Zn  0.510  0.000  0.512
Zn  0.755  0.000  0.292
Pt  0.261  0.000  0.797
Pt  0.761  0.500  0.797

Al4ZnPt after structural relaxation. Source: Alexandria via LeMat-Bulk, functional GGA-PBE.

Values from the calculation:
* M_tot: 0.00 μB per formula unit
* energy above the most stable polymorph in this dataset: 3.25 eV/f.u.
* space-group type: F-43m, No. 216

Cell lengths 5.183, 5.183, 5.183 Å; angles 60.00, 60.00, 60.00 degrees
Fractional coordinates of all 6 atoms:
Al  0.125  0.125  0.125
Al  0.125  0.125  0.626
Al  0.125  0.626  0.125
Al  0.626  0.125  0.125
Zn  0.750  0.750  0.750
Pt  0.500  0.500  0.500

AlZn3Pt after structural relaxation. Source: Alexandria via LeMat-Bulk, functional GGA-PBE.

Values from the calculation:
* M_tot: 0.00 μB per formula unit
* energy above the most stable polymorph in this dataset: 2.92 eV/f.u.
* space-group type: Pm-3m, No. 221

Cell lengths 4.642, 4.642, 4.642 Å; angles 90.00, 90.00, 90.00 degrees
Fractional coordinates of all 5 atoms:
Al  0.000  0.000  0.000
Zn  0.000  0.000  0.500
Zn  0.000  0.500  0.000
Zn  0.500  0.000  0.000
Pt  0.500  0.500  0.500

Al2ZnPt9 after structural relaxation. Source: Alexandria via LeMat-Bulk, functional GGA-PBE.

Values from the calculation:
* M_tot: 0.00 μB per formula unit
* space-group type: P4/mmm, No. 123

Cell lengths 3.924, 3.924, 11.778 Å; angles 90.00, 90.00, 90.00 degrees
Fractional coordinates of all 12 atoms:
Al  0.000  0.000  0.169
Al  0.000  0.000  0.831
Zn  0.000  0.000  0.500
Pt  0.000  0.500  0.000
Pt  0.000  0.500  0.331
Pt  0.000  0.500  0.669
Pt  0.500  0.000  0.000
Pt  0.500  0.000  0.331
Pt  0.500  0.000  0.669
Pt  0.500  0.500  0.165
Pt  0.500  0.500  0.500
Pt  0.500  0.500  0.835

AlZn2Pt after structural relaxation. Source: Alexandria via LeMat-Bulk, functional GGA-PBE.

Values from the calculation:
* M_tot: 0.00 μB per formula unit
* space-group type: I4/mmm, No. 139

Cell lengths 3.824, 3.824, 7.953 Å; angles 90.00, 90.00, 90.00 degrees
Fractional coordinates of all 8 atoms:
Al  0.000  0.000  0.000
Al  0.500  0.500  0.500
Zn  0.000  0.500  0.250
Zn  0.000  0.500  0.750
Zn  0.500  0.000  0.250
Zn  0.500  0.000  0.750
Pt  0.000  0.000  0.500
Pt  0.500  0.500  0.000

AlZn2Pt after structural relaxation. Source: Alexandria via LeMat-Bulk, functional GGA-PBE.

Values from the calculation:
* M_tot: 0.00 μB per formula unit
* space-group type: I-42d, No. 122

Cell lengths 7.551, 7.551, 4.952 Å; angles 90.00, 90.00, 90.00 degrees
Fractional coordinates of all 16 atoms:
Al  0.000  0.000  0.000
Al  0.000  0.500  0.250
Al  0.500  0.000  0.750
Al  0.500  0.500  0.500
Zn  0.213  0.250  0.625
Zn  0.250  0.713  0.875
Zn  0.250  0.787  0.375
Zn  0.287  0.250  0.125
Zn  0.713  0.750  0.125
Zn  0.750  0.213  0.375
Zn  0.750  0.287  0.875
Zn  0.787  0.750  0.625
Pt  0.000  0.000  0.500
Pt  0.000  0.500  0.750
Pt  0.500  0.000  0.250
Pt  0.500  0.500  0.000

Al2Zn2Pt after structural relaxation. Source: Alexandria via LeMat-Bulk, functional GGA-PBE.

Values from the calculation:
* M_tot: 0.00 μB per formula unit
* energy above the most stable polymorph in this dataset: 1.40 eV/f.u.
* space-group type: I4/mmm, No. 139

Cell lengths 3.654, 3.654, 12.362 Å; angles 90.00, 90.00, 90.00 degrees
Fractional coordinates of all 10 atoms:
Al  0.000  0.500  0.250
Al  0.000  0.500  0.750
Al  0.500  0.000  0.250
Al  0.500  0.000  0.750
Zn  0.000  0.000  0.096
Zn  0.000  0.000  0.904
Zn  0.500  0.500  0.404
Zn  0.500  0.500  0.596
Pt  0.000  0.000  0.500
Pt  0.500  0.500  0.000

AlZn2Pt2 after structural relaxation. Source: Alexandria via LeMat-Bulk, functional GGA-PBE.

Values from the calculation:
* M_tot: 0.00 μB per formula unit
* energy above the most stable polymorph in this dataset: 0.00 eV/f.u.
* space-group type: P4/mbm, No. 127

Cell lengths 6.581, 6.581, 3.692 Å; angles 90.00, 90.00, 90.00 degrees
Fractional coordinates of all 10 atoms:
Al  0.000  0.000  0.000
Al  0.500  0.500  0.000
Zn  0.149  0.351  0.500
Zn  0.351  0.851  0.500
Zn  0.649  0.149  0.500
Zn  0.851  0.649  0.500
Pt  0.153  0.653  0.000
Pt  0.347  0.153  0.000
Pt  0.653  0.847  0.000
Pt  0.847  0.347  0.000

AlZn4Pt5 after structural relaxation. Source: Alexandria via LeMat-Bulk, functional GGA-PBE.

Values from the calculation:
* M_tot: 0.00 μB per formula unit
* space-group type: P4/mmm, No. 123

Cell lengths 2.870, 2.870, 17.784 Å; angles 90.00, 90.00, 90.00 degrees
Fractional coordinates of all 10 atoms:
Al  0.000  0.000  0.000
Zn  0.000  0.000  0.201
Zn  0.000  0.000  0.400
Zn  0.000  0.000  0.600
Zn  0.000  0.000  0.799
Pt  0.500  0.500  0.094
Pt  0.500  0.500  0.300
Pt  0.500  0.500  0.500
Pt  0.500  0.500  0.700
Pt  0.500  0.500  0.906

AlZnPt4 after structural relaxation. Source: Alexandria via LeMat-Bulk, functional GGA-PBE.

Values from the calculation:
* M_tot: 0.00 μB per formula unit
* energy above the most stable polymorph in this dataset: 0.00 eV/f.u.
* space-group type: P4/mmm, No. 123

Cell lengths 4.128, 4.128, 5.856 Å; angles 90.00, 90.00, 90.00 degrees
Fractional coordinates of all 6 atoms:
Al  0.000  0.000  0.000
Zn  0.500  0.500  0.500
Pt  0.000  0.500  0.246
Pt  0.000  0.500  0.754
Pt  0.500  0.000  0.246
Pt  0.500  0.000  0.754

Al2ZnPt8 after structural relaxation. Source: Alexandria via LeMat-Bulk, functional GGA-PBE.

Values from the calculation:
* M_tot: 0.00 μB per formula unit
* space-group type: C2/m, No. 12

Cell lengths 7.221, 7.221, 6.283 Å; angles 106.46, 106.46, 32.37 degrees
Fractional coordinates of all 11 atoms:
Al  0.221  0.221  0.154
Al  0.779  0.779  0.846
Zn  0.500  0.500  0.500
Pt  0.045  0.045  0.229
Pt  0.152  0.152  0.721
Pt  0.323  0.323  0.566
Pt  0.400  0.400  0.032
Pt  0.600  0.600  0.968
Pt  0.677  0.677  0.434
Pt  0.848  0.848  0.279
Pt  0.955  0.955  0.771

Al2ZnPt2 after structural relaxation. Source: Alexandria via LeMat-Bulk, functional GGA-PBE.

Values from the calculation:
* M_tot: 0.00 μB per formula unit
* energy above the most stable polymorph in this dataset: 0.00 eV/f.u.
* space-group type: P-3m1, No. 164

Cell lengths 4.242, 4.242, 5.256 Å; angles 90.00, 90.00, 120.00 degrees
Fractional coordinates of all 5 atoms:
Al  0.333  0.667  0.348
Al  0.667  0.333  0.652
Zn  0.000  0.000  0.000
Pt  0.333  0.667  0.823
Pt  0.667  0.333  0.177

The calculation returns the following ΔE_f values, one per record and in order: -847, -900, -350, -866, -393, -782, -385, -430, -464, -464, -790, -641, -198, -397, 77, 732, -577, -464, -130, 105, -549, -664, -501, -555, -833 meV per atom.
The calculation returns the following DFT total energy values, one per record and in order: -43.69, -58.42, -13.73, -43.59, -13.90, -24.75, -13.87, -14.05, -25.07, -14.19, -29.32, -24.05, -28.19, -13.92, -21.82, -9.95, -70.06, -14.19, -12.85, -15.55, -21.12, -45.68, -32.19, -63.19, -25.01 eV/f.u..
The calculation returns the following DOS(E_F) values, one per record and in order: 0.320, 0.442, 0.269, 0.478, 0.394, 0.223, 0.213, 0.275, 0.429, 0.255, 0.119, 0.576, 0.325, 0.162, 0.412, 0.522, 0.835, 0.193, 0.304, 0.360, 0.242, 0.383, 0.373, 0.805, 0.328 states/eV per atom.